Record 1
VASP calculation (GGA-PBE) on a relaxed structure of NbRe2SiCl.

Calculated values
volume = 24.08 Å³/atom
E = -6.417 eV per atom

Cell: 4.8981 5.0192 4.8981 Å, 90.00 90.00 90.00°
With the nearest neighbours (Å) after each atom.
Element x y z (fractional)
Re 0.0000 0.0000 0.5000  2 Nb 2.45
Re 0.5000 0.0000 0.0000  2 Nb 2.45
Si 0.0000 0.5000 0.0000  2 Nb 2.51
Cl 0.5000 0.5000 0.5000  4 Si 3.46, 8 Re 3.51
Nb 0.0000 0.0000 0.0000  4 Re 2.45, 2 Si 2.51

Record 2
VASP calculation (GGA-PBE) on a relaxed structure of ZrNbReCl2.

Calculated values
volume = 26.57 Å³/atom
E = -5.868 eV per atom

Cell: 4.7303 5.9368 4.7303 Å, 90.00 90.00 90.00°
With the nearest neighbours (Å) after each atom.
Element x y z (fractional)
Re 0.5000 0.5000 0.5000  4 Nb 3.34
Cl 0.5000 0.0000 0.0000  2 Zr 2.37
Cl 0.0000 0.0000 0.5000  2 Zr 2.37
Nb 0.0000 0.5000 0.0000  2 Zr 2.97
Zr 0.0000 0.0000 0.0000  4 Cl 2.37

Record 3
VASP calculation (GGA-PBE) on a relaxed structure of NbRhCl2.

Calculated values
energy above the most stable polymorph in this dataset = 592.4 meV/atom
volume = 20.50 Å³/atom
E = -4.896 eV per atom

Cell: 5.8284 5.8284 6.3482 Å, 62.67 62.67 90.00°
With the nearest neighbours (Å) after each atom.
Element x y z (fractional)
Nb 0.2500 0.7500 0.5000  4 Cl 2.40
Nb 0.5000 0.5000 0.0000  4 Cl 2.40
Cl 0.6271 0.1250 0.2500  2 Rh 2.38, 2 Nb 2.40
Cl 0.3750 0.3729 0.7500  2 Rh 2.38, 2 Nb 2.40
Cl 0.8750 0.8771 0.7500  2 Rh 2.38, 2 Nb 2.40
Cl 0.1229 0.6250 0.2500  2 Rh 2.38, 2 Nb 2.40
Rh 0.0000 0.0000 0.0000  4 Cl 2.38
Rh 0.7500 0.2500 0.5000  4 Cl 2.38

Record 4
VASP calculation (GGA-PBE) on a relaxed structure of Nb2RhCl.

Calculated values
energy above the most stable polymorph in this dataset = 0.0 meV/atom
volume = 16.39 Å³/atom
E = -7.187 eV per atom

Cell: 4.5264 4.5264 4.5264 Å, 60.00 60.00 60.00°
With the nearest neighbours (Å) after each atom.
Element x y z (fractional)
Rh 0.5000 0.5000 0.5000  8 Nb 2.77
Cl 0.0000 0.0000 0.0000  8 Nb 2.77
Nb 0.2500 0.2500 0.2500  4 Rh 2.77, 4 Cl 2.77
Nb 0.7500 0.7500 0.7500  4 Rh 2.77, 4 Cl 2.77

Record 5
VASP calculation (GGA-PBE) on a relaxed structure of NbRhCl2.

Calculated values
energy above the most stable polymorph in this dataset = 0.0 meV/atom
volume = 17.26 Å³/atom
E = -5.489 eV per atom

Cell: 8.4580 8.4580 8.4580 Å, 21.16 21.16 21.16°
With the nearest neighbours (Å) after each atom.
Element x y z (fractional)
Cl 0.0937 0.0937 0.0937  1 Rh 2.32, 3 Nb 2.55
Cl 0.9063 0.9063 0.9063  1 Rh 2.32, 3 Nb 2.55
Rh 0.0000 0.0000 0.0000  2 Cl 2.32
Nb 0.5000 0.5000 0.5000  6 Cl 2.55

Record 6
VASP calculation (GGA-PBE) on a relaxed structure of Nb2RhCl.

Calculated values
energy above the most stable polymorph in this dataset = 92.5 meV/atom
volume = 17.73 Å³/atom
E = -7.095 eV per atom

Cell: 6.7657 6.7657 5.7000 Å, 53.60 53.60 90.00°
With the nearest neighbours (Å) after each atom.
Element x y z (fractional)
Rh 0.7500 0.2500 0.5000  4 Nb 2.59
Rh 0.0000 0.0000 0.0000  4 Nb 2.59
Cl 0.2500 0.7500 0.5000  4 Nb 2.44
Cl 0.5000 0.5000 0.0000  4 Nb 2.44
Nb 0.1419 0.6250 0.2500  2 Cl 2.44, 2 Rh 2.59
Nb 0.6081 0.1250 0.2500  2 Cl 2.44, 2 Rh 2.59
Nb 0.8750 0.8581 0.7500  2 Cl 2.44, 2 Rh 2.59
Nb 0.3750 0.3919 0.7500  2 Cl 2.44, 2 Rh 2.59

Record 7
VASP calculation (GGA-PBE) on a relaxed structure of NbRhCl2.

Calculated values
energy above the most stable polymorph in this dataset = 485.4 meV/atom
volume = 15.59 Å³/atom
E = -5.003 eV per atom

Cell: 4.4512 4.4512 4.4512 Å, 60.00 60.00 60.00°
With the nearest neighbours (Å) after each atom.
Element x y z (fractional)
Cl 0.2500 0.2500 0.2500  4 Rh 2.73, 4 Nb 2.73
Cl 0.7500 0.7500 0.7500  4 Rh 2.73, 4 Nb 2.73
Rh 0.5000 0.5000 0.5000  8 Cl 2.73
Nb 0.0000 0.0000 0.0000  8 Cl 2.73

Record 8
VASP calculation (GGA-PBE) on a relaxed structure of Sc2NbRhCl.

Calculated values
volume = 19.74 Å³/atom
E = -6.304 eV per atom

Cell: 4.7193 4.4326 4.7193 Å, 90.00 90.00 90.00°
With the nearest neighbours (Å) after each atom.
Element x y z (fractional)
Rh 0.0000 0.5000 0.0000  2 Cl 2.22
Cl 0.0000 0.0000 0.0000  2 Rh 2.22, 4 Sc 2.36
Sc 0.0000 0.0000 0.5000  2 Cl 2.36
Sc 0.5000 0.0000 0.0000  2 Cl 2.36
Nb 0.5000 0.5000 0.5000  8 Sc 3.24, 4 Rh 3.34